[1]
An optimized crystal structure of Ta4AgRh, computed with PBE.

a b c (Å): 5.3798 5.3798 5.3798
angles (deg): 60.00 60.00 60.00
Closest atoms and distances in Å follow each position.
Fractional coordinates of all 6 atoms:
Ta: 0.8754 0.3749 0.3749  6 Ta 2.69
Ta: 0.3749 0.3749 0.8754  6 Ta 2.69
Ta: 0.3749 0.8754 0.3749  6 Ta 2.69
Ta: 0.3749 0.3749 0.3749  6 Ta 2.69
Ag: 0.7500 0.7500 0.7500  12 Ta 3.15, 4 Rh 3.29
Rh: 0.0000 0.0000 0.0000  12 Ta 3.15, 4 Ag 3.29

Properties
* energy relative to the elements: 0.402 eV per atom
* ρ: 14.10 Mg/m³
* spin magnetization: 0.0 μB/cell
* SG: F-43m (216)

[2]
An optimized crystal structure of TaAgRh, computed with PBE.

a b c (Å): 5.0250 5.0250 5.0250
angles (deg): 140.88 140.88 56.51
Closest atoms and distances in Å follow each position.
Fractional coordinates of all 3 atoms:
Ta: 0.6821 0.6821 0.0000  4 Rh 2.67, 5 Ag 2.81-2.88
Ag: 0.9995 0.9995 0.0000  5 Ta 2.81-2.88, 5 Rh 2.82-2.87
Rh: 0.3185 0.3185 0.0000  4 Ta 2.67, 5 Ag 2.82-2.87

Properties
* energy relative to the elements: -0.097 eV per atom
* ρ: 12.98 Mg/m³
* spin magnetization: 0.0 μB/cell
* SG: I4mm (107)

[3]
An optimized crystal structure of TaAg2Rh, computed with PBE.

a b c (Å): 3.7782 3.7782 4.7340
angles (deg): 90.00 90.00 90.00
Closest atoms and distances in Å follow each position.
Fractional coordinates of all 4 atoms:
Ta: 0.0000 0.0000 0.5000  4 Rh 2.67
Ag: 0.0000 0.5000 0.0000  4 Ag 2.67
Ag: 0.5000 0.0000 0.0000  4 Ag 2.67
Rh: 0.5000 0.5000 0.5000  4 Ta 2.67

Properties
* energy relative to the elements: 0.218 eV per atom
* ρ: 12.28 Mg/m³
* spin magnetization: 0.0 μB/cell
* SG: P4/mmm (123)

[4]
An optimized crystal structure of TaAg2Rh, computed with PBE.

a b c (Å): 2.8836 3.9528 5.8958
angles (deg): 90.00 90.00 90.00
Closest atoms and distances in Å follow each position.
Fractional coordinates of all 4 atoms:
Ta: 0.0000 0.5000 0.7247  4 Rh 2.72, 5 Ag 2.82-2.96, 2 Ta 2.88
Ag: 0.5000 0.0000 0.0065  6 Ag 2.83-2.88, 2 Rh 2.85-3.04, 4 Ta 2.96
Ag: 0.0000 0.5000 0.2461  2 Ta 2.82-3.07, 6 Ag 2.83-2.88, 4 Rh 2.94
Rh: 0.5000 0.0000 0.5227  4 Ta 2.72, 6 Ag 2.85-3.04, 2 Rh 2.88

Properties
* energy relative to the elements: 0.034 eV per atom
* ρ: 12.34 Mg/m³
* spin magnetization: 0.0 μB/cell
* SG: Pmm2 (25)

[5]
An optimized crystal structure of TaAgRh2, computed with PBE.

a b c (Å): 2.8314 4.0652 5.5024
angles (deg): 90.00 90.00 90.00
Closest atoms and distances in Å follow each position.
Fractional coordinates of all 4 atoms:
Ta: 0.5000 0.0000 0.4771  6 Rh 2.62-2.88, 2 Ta 2.83, 4 Ag 2.93
Ag: 0.0000 0.5000 0.7619  6 Rh 2.75-2.80, 2 Ag 2.83, 4 Ta 2.93
Rh: 0.5000 0.0000 0.0001  2 Ta 2.62-2.88, 4 Ag 2.80, 6 Rh 2.83-2.86
Rh: 0.0000 0.5000 0.2609  2 Ag 2.75-2.76, 4 Ta 2.75, 6 Rh 2.83-2.86

Properties
* energy relative to the elements: -0.087 eV per atom
* ρ: 12.97 Mg/m³
* spin magnetization: 0.0 μB/cell
* SG: Pmm2 (25)

[6]
An optimized crystal structure of TaAg3Rh, computed with PBE.

a b c (Å): 5.0092 5.0092 5.0092
angles (deg): 90.00 90.00 90.00
Closest atoms and distances in Å follow each position.
Fractional coordinates of all 5 atoms:
Rh: 0.5000 0.5000 0.5000  12 Ag 3.54
Ag: 0.0000 0.5000 0.0000  2 Ta 2.50
Ag: 0.0000 0.0000 0.5000  2 Ta 2.50
Ag: 0.5000 0.0000 0.0000  2 Ta 2.50
Ta: 0.0000 0.0000 0.0000  6 Ag 2.50

Properties
* energy relative to the elements: 1.954 eV per atom
* ρ: 8.03 Mg/m³
* spin magnetization: 0.0 μB/cell
* SG: Pm-3m (221)

[7]
An optimized crystal structure of TaAgRh, computed with PBE.

a b c (Å): 6.1194 6.1194 6.1194
angles (deg): 152.01 152.01 39.99
Closest atoms and distances in Å follow each position.
Fractional coordinates of all 3 atoms:
Ta: 0.3204 0.3204 0.0000  4 Rh 2.66, 4 Ta 2.96, 4 Ag 2.96
Ag: 0.0026 0.0026 0.0000  4 Rh 2.90, 4 Ag 2.96, 4 Ta 2.96
Rh: 0.6770 0.6770 0.0000  4 Ta 2.66, 4 Ag 2.90, 4 Rh 2.96

Properties
* energy relative to the elements: -0.033 eV per atom
* ρ: 12.92 Mg/m³
* spin magnetization: 0.0 μB/cell
* SG: I4mm (107)

[8]
An optimized crystal structure of TaAgRh2, computed with PBE.

a b c (Å): 9.4818 9.4818 9.4818
angles (deg): 17.12 17.12 17.12
Closest atoms and distances in Å follow each position.
Fractional coordinates of all 4 atoms:
Ta: 0.5048 0.5048 0.5048  3 Rh 2.75, 6 Ta 2.82, 3 Ag 3.01
Ag: 0.7480 0.7480 0.7480  6 Ag 2.82, 3 Rh 2.88, 3 Ta 3.01
Rh: 0.9967 0.9967 0.9967  9 Rh 2.76-2.82, 3 Ag 2.88
Rh: 0.2505 0.2505 0.2505  3 Ta 2.75, 9 Rh 2.76-2.82

Properties
* energy relative to the elements: 0.107 eV per atom
* ρ: 12.74 Mg/m³
* spin magnetization: 1.2 μB/cell
* SG: R3m (160)

> Which of these has the lowest ρ?

TaAg3Rh